La4FeAs4Ru3O4, PBEsol geometry, DFT SCAN; energy above the most stable polymorph in this dataset = 0.0072 eV/atom; space-group type = No. 115; ΔE_f (raw) = -33.35 eV/f.u.; mass density = 7.6 Mg/m³
1.0
-3.820 -0.861 1.049
-0.105 -2.934 -2.794
5.638 -11.086 11.429
La Fe As Ru O
4 1 4 3 4
direct
0.500 0.000 0.177
0.000 0.500 0.823
0.500 0.000 0.680
0.000 0.500 0.320
0.500 0.500 0.000
0.500 0.000 0.926
0.000 0.500 0.074
0.500 0.000 0.422
0.000 0.500 0.578
0.500 0.500 0.500
0.000 0.000 0.000
0.000 0.000 0.500
0.500 0.500 0.751
0.500 0.500 0.249
0.000 0.000 0.752
0.000 0.000 0.248

LiFeAsO4, PBEsol geometry, DFT SCAN; space-group type = No. 62; ΔE_f (raw) = -11.60 eV/f.u.; mass density = 4.4 Mg/m³
1.0
4.878 0.000 0.000
0.000 6.003 0.000
0.000 0.000 10.460
Li Fe As O
4 4 4 16
direct
0.500 0.000 0.500
0.000 0.000 0.000
0.500 0.500 0.500
0.000 0.500 0.000
0.989 0.750 0.276
0.511 0.750 0.776
0.489 0.250 0.224
0.011 0.250 0.724
0.941 0.250 0.407
0.441 0.750 0.093
0.059 0.750 0.593
0.559 0.250 0.907
0.292 0.250 0.405
0.792 0.750 0.095
0.708 0.750 0.595
0.208 0.250 0.905
0.707 0.250 0.057
0.207 0.750 0.443
0.293 0.750 0.943
0.793 0.250 0.557
0.783 0.028 0.329
0.283 0.972 0.171
0.217 0.528 0.671
0.717 0.472 0.829
0.217 0.972 0.671
0.717 0.028 0.829
0.783 0.472 0.329
0.283 0.528 0.171

LiFeAs2O7, PBEsol geometry, DFT SCAN; space-group type = No. 5; ΔE_f (raw) = -17.48 eV/f.u.; mass density = 4.2 Mg/m³
1.0
4.787 0.001 0.001
-0.810 5.269 -0.021
-0.810 -1.287 5.109
As Fe O Li
2 1 7 1
direct
0.592 0.116 0.444
0.408 0.556 0.884
0.000 0.001 0.999
0.829 0.234 0.270
0.171 0.730 0.766
0.745 0.983 0.678
0.255 0.322 0.017
0.273 0.916 0.285
0.727 0.715 0.084
0.500 0.418 0.582
0.000 0.623 0.377

MgFeAs2, PBEsol geometry, DFT SCAN; energy above the most stable polymorph in this dataset = 0.1028 eV/atom; DFT formation energy = 0.086 eV per atom; space-group type = No. 139; mass density = 6.3 Mg/m³
1.0
-0.918 -3.518 2.280
3.076 2.829 1.564
-0.980 2.450 3.384
As Fe Mg
2 1 1
direct
0.250 0.500 0.250
0.750 0.500 0.750
0.500 0.000 0.500
0.000 0.000 0.000

MgFeAs2, PBEsol geometry, DFT SCAN; energy above the most stable polymorph in this dataset = 0.0000 eV/atom; DFT formation energy = -0.016 eV per atom; space-group type = No. 10; mass density = 6.1 Mg/m³
1.0
-1.912 2.050 -0.987
-1.121 -1.972 -1.922
-4.683 -2.037 4.839
As Fe Mg
2 1 1
direct
0.000 0.001 0.704
0.000 0.999 0.296
0.500 0.500 0.500
0.500 0.500 0.000

MgFeAs2, PBEsol geometry, DFT SCAN; energy above the most stable polymorph in this dataset = 0.0758 eV/atom; DFT formation energy = 0.060 eV per atom; space-group type = No. 47; mass density = 6.0 Mg/m³
1.0
3.424 0.000 0.000
0.000 4.274 0.000
0.000 0.000 4.330
As Fe Mg
2 1 1
direct
0.000 0.000 0.000
0.000 0.500 0.500
0.500 0.500 0.000
0.500 0.000 0.500

MnFe2As, PBEsol geometry, DFT SCAN; DFT formation energy = -0.041 eV per atom; space-group type = No. 216; mass density = 9.0 Mg/m³
1.0
-2.639 -0.848 -2.851
-2.982 -2.526 0.738
-3.729 1.353 0.277
As Fe Mn
1 2 1
direct
0.500 0.500 0.500
0.000 0.000 0.000
0.750 0.750 0.750
0.250 0.250 0.250

MnFe2As, PBEsol geometry, DFT SCAN; DFT formation energy = -0.106 eV per atom; space-group type = No. 123; mass density = 8.9 Mg/m³
1.0
3.711 0.000 0.000
0.000 3.711 0.000
0.000 0.000 3.259
As Fe Mn
1 2 1
direct
0.000 0.000 0.500
0.000 0.500 0.000
0.500 0.000 0.000
0.500 0.500 0.500

Mn2FeAs, PBEsol geometry, DFT SCAN; DFT formation energy = 0.288 eV per atom; space-group type = No. 166; mass density = 8.7 Mg/m³
1.0
-2.354 -0.425 1.091
-2.048 -0.661 -1.510
0.279 -7.780 0.741
As Fe Mn
1 1 2
direct
0.500 0.500 0.500
0.000 0.000 0.000
0.251 0.251 0.246
0.749 0.749 0.754

MnFe2As, PBEsol geometry, DFT SCAN; DFT formation energy = 0.358 eV per atom; space-group type = No. 166; mass density = 8.9 Mg/m³
1.0
-1.645 1.729 -1.064
-1.210 -0.559 -2.247
-6.705 -2.705 2.764
As Fe Mn
1 2 1
direct
0.000 0.000 0.000
0.249 0.249 0.253
0.751 0.751 0.747
0.500 0.500 0.500

Mn2FeAs, PBEsol geometry, DFT SCAN; DFT formation energy = 0.008 eV per atom; space-group type = No. 47; mass density = 8.7 Mg/m³
1.0
-0.834 1.166 2.187
2.999 -1.057 1.707
2.226 4.129 -1.353
As Fe Mn
1 1 2
direct
0.500 0.500 0.000
0.500 0.500 0.500
0.000 0.000 0.741
0.000 0.000 0.259

MnFe2As, PBEsol geometry, DFT SCAN; DFT formation energy = -0.118 eV per atom; space-group type = No. 99; mass density = 8.3 Mg/m³
1.0
3.076 0.000 0.000
0.000 3.076 0.000
0.000 0.000 5.136
As Fe Mn
1 2 1
direct
0.500 0.500 0.748
0.000 0.000 0.003
0.500 0.500 0.247
0.000 0.000 0.503